No. 1
Sm8InPb6: relaxed, PBE.

Lattice parameters (Å, degrees): 8.487 8.487 8.487 67.46 67.46 67.46
Fractional coordinates of all 15 atoms:
Sm  0.124  0.399  0.689
Sm  0.168  0.168  0.168
Sm  0.311  0.876  0.601
Sm  0.399  0.689  0.124
Sm  0.601  0.311  0.876
Sm  0.689  0.124  0.399
Sm  0.832  0.832  0.832
Sm  0.876  0.601  0.311
In  0.500  0.500  0.500
Pb  0.056  0.793  0.428
Pb  0.207  0.572  0.944
Pb  0.428  0.056  0.793
Pb  0.572  0.944  0.207
Pb  0.793  0.428  0.056
Pb  0.944  0.207  0.572

Calculated values
Space group: R-3

No. 2
ScV3Pd: relaxed, PBE.

Lattice parameters (Å, degrees): 4.444 4.444 4.444 90.00 90.00 90.00
Fractional coordinates of all 5 atoms:
Sc  0.000  0.000  0.000
V  0.000  0.000  0.500
V  0.000  0.500  0.000
V  0.500  0.000  0.000
Pd  0.500  0.500  0.500

Calculated values
Space group: Pm-3m
Excess energy over the best structure of this formula in the dataset in eV/atom: 0.523

No. 3
Tb3ErTh4: relaxed, PBE.

Lattice parameters (Å, degrees): 8.878 8.878 8.878 157.74 100.51 83.80
Fractional coordinates of all 8 atoms:
Tb  0.000  0.000  0.000
Tb  0.266  0.766  0.500
Tb  0.734  0.234  0.500
Er  0.500  0.500  0.000
Th  0.118  0.371  0.747
Th  0.376  0.629  0.747
Th  0.624  0.371  0.253
Th  0.882  0.629  0.253

Calculated values
Space group: Immm

No. 4
Th2TlAs: relaxed, PBE.

Lattice parameters (Å, degrees): 8.566 8.566 8.566 27.78 27.78 27.78
Fractional coordinates of all 4 atoms:
Th  0.238  0.238  0.238
Th  0.762  0.762  0.762
Tl  0.000  0.000  0.000
As  0.500  0.500  0.500

Calculated values
Space group: R-3m
Excess energy over the best structure of this formula in the dataset in eV/atom: 0.000

| no. | energy of formation from the pure elements (eV per formula unit) | total moment (μB/cell) |
| --- | --- | --- |
| 1 | -6.22 | 0.0 |
| 2 | 7.66 | 4.6 |
| 3 | 1.09 | 0.0 |
| 4 | -2.66 | 0.0 |